[1]
An optimized crystal structure of Dy4SiSbC. Source: Alexandria, functional GGA-PBE.

Unit cell a=8.384 b=8.384 c=6.711 alpha=90.00 beta=90.00 gamma=132.90
Fractional positions:
Dy: 0.000 0.500 0.000
Dy: 0.000 0.500 0.500
Dy: 0.082 0.918 0.750
Dy: 0.408 0.592 0.750
Dy: 0.500 0.000 0.000
Dy: 0.500 0.000 0.500
Dy: 0.592 0.408 0.250
Dy: 0.918 0.082 0.250
Si: 0.115 0.885 0.250
Si: 0.885 0.115 0.750
Sb: 0.393 0.607 0.250
Sb: 0.607 0.393 0.750
C: 0.246 0.754 0.750
C: 0.754 0.246 0.250

## Properties
Its space group is No. 63. The formation energy without anion corrections is -0.646 eV/atom. The mass density is 7.80 g/cm³.


[2]
An optimized crystal structure of Sm3DySb2C. Source: Alexandria, functional GGA-PBE.

Unit cell a=8.771 b=8.771 c=8.771 alpha=148.19 beta=147.59 gamma=46.05
Fractional positions:
Sm: 0.000 0.000 0.000
Sm: 0.340 0.840 0.500
Sm: 0.660 0.160 0.500
Dy: 0.500 0.500 0.000
Sb: 0.140 0.640 0.500
Sb: 0.860 0.360 0.500
C: 0.500 0.000 0.500

## Properties
Its space group is No. 71. The formation energy without anion corrections is -0.770 eV/atom. The mass density is 7.60 g/cm³.